1.
The following is a DFT calculation (GGA-PBE) of NbFeSe3 after structural relaxation.

It has space group Pm-3m (No. 221), with a = 5.0420 Å, b = 5.0420 Å, c = 5.0420 Å, α = 90.00°, β = 90.00° and γ = 90.00°. The asymmetric unit holds Nb at (0.0000, 0.0000, 0.0000), Fe at (0.5000, 0.5000, 0.5000) and Se at (0.0000, 0.0000, 0.5000).

For the uncorrected formation energy, the calculation gives 0.377 eV/atom.

2.
The following is a DFT calculation (GGA-PBE) of CuSiOsRh after structural relaxation.

It has space group F-43m (No. 216), with a = 5.9170 Å, b = 5.9170 Å, c = 5.9170 Å, α = 90.00°, β = 90.00° and γ = 90.00°. The asymmetric unit holds Cu at (0.0000, 0.0000, 0.0000), Si at (0.0000, 0.0000, 0.5000), Os at (0.2500, 0.2500, 0.7500) and Rh at (0.2500, 0.2500, 0.2500).

For the uncorrected formation energy, the calculation gives -0.202 eV/atom.

3.
The following is a DFT calculation (GGA-PBE) of Cu2Sb2Pd after structural relaxation.

It has space group I4/mmm (No. 139), with a = 3.4149 Å, b = 3.4149 Å, c = 16.0388 Å, α = 90.00°, β = 90.00° and γ = 90.00°. The asymmetric unit holds Cu at (0.0000, 0.5000, 0.2500), Sb at (0.0000, 0.0000, 0.1095) and Pd at (0.0000, 0.0000, 0.5000).

For the uncorrected formation energy, the calculation gives 0.053 eV/atom.

4.
The following is a DFT calculation (GGA-PBE) of Nb2ReMo after structural relaxation.

It has space group I-42d (No. 122), with a = 7.2414 Å, b = 7.2414 Å, c = 5.4823 Å, α = 90.00°, β = 90.00° and γ = 90.00°. The asymmetric unit holds Nb at (0.2432, 0.2500, 0.1250), Re at (0.0000, 0.0000, 0.0000) and Mo at (0.0000, 0.0000, 0.5000).

The value obtained for the energy of formation from the pure elements is 63 kJ per mole of atoms.

5.
The following is a DFT calculation (GGA-PBE) of CaZrCd after structural relaxation.

It has space group F-43m (No. 216), with a = 7.1048 Å, b = 7.1048 Å, c = 7.1048 Å, α = 90.00°, β = 90.00° and γ = 90.00°. The asymmetric unit holds Ca at (0.0000, 0.0000, 0.0000), Zr at (0.0000, 0.0000, 0.5000) and Cd at (0.2500, 0.2500, 0.7500).

The value obtained for the energy of formation from the pure elements is 42 kJ per mole of atoms.

6.
The following is a DFT calculation (GGA-PBE) of K3TbB2O6 after structural relaxation.

It has space group P-3m1 (No. 164), with a = 5.5856 Å, b = 5.5856 Å, c = 6.9296 Å, α = 90.00°, β = 90.00° and γ = 120.00°. The asymmetric unit holds K at (0.0000, 0.0000, 0.0000), K at (0.3333, 0.6667, 0.7407), Tb at (0.0000, 0.0000, 0.5000), B at (0.3333, 0.6667, 0.2984) and O at (0.1891, 0.3782, 0.2994).

For the uncorrected formation energy, the calculation gives -2.490 eV/atom.

7.
The following is a DFT calculation (GGA-PBE) of POs2W after structural relaxation.

It has space group C2/m (No. 12), with a = 9.4406 Å, b = 2.8362 Å, c = 4.4009 Å, α = 90.00°, β = 90.70° and γ = 90.00°. The asymmetric unit holds P at (0.0000, 0.0000, 0.0000), Os at (0.2223, 0.0000, 0.7423) and W at (0.0000, 0.5000, 0.5000).

The value obtained for the energy of formation from the pure elements is 19 kJ per mole of atoms.

8.
The following is a DFT calculation (GGA-PBE) of CsK2SbBr8 after structural relaxation.

It has space group P-1 (No. 2), with a = 6.8406 Å, b = 6.9488 Å, c = 10.6455 Å, α = 90.09°, β = 90.23° and γ = 96.46°. The asymmetric unit holds Cs at (0.0000, 0.0000, 0.0000), K at (0.4974, 0.4988, 0.7388), Sb at (0.0000, 0.0000, 0.5000), Br at (0.2156, 0.3469, 0.4981), Br at (0.2272, 0.8805, 0.3167), Br at (0.2315, 0.8856, 0.6837) and Br at (0.2462, 0.5051, 0.0002).

For the uncorrected formation energy, the calculation gives -1.031 eV/atom.

9.
The following is a DFT calculation (GGA-PBE) of Ca2SiP after structural relaxation.

It has space group Cmmm (No. 65), with a = 6.2927 Å, b = 8.0386 Å, c = 3.4845 Å, α = 90.00°, β = 90.00° and γ = 90.00°. The asymmetric unit holds Ca at (0.2500, 0.2500, 0.0000), Si at (0.0000, 0.0000, 0.5000) and P at (0.0000, 0.5000, 0.5000).

For the uncorrected formation energy, the calculation gives -0.485 eV/atom.

10.
The following is a DFT calculation (GGA-PBE) of CuSOF2 after structural relaxation.

It has space group P4/mmm (No. 123), with a = 3.7777 Å, b = 3.7777 Å, c = 4.2486 Å, α = 90.00°, β = 90.00° and γ = 90.00°. The asymmetric unit holds Cu at (0.0000, 0.0000, 0.0000), S at (0.5000, 0.5000, 0.5000), O at (0.0000, 0.0000, 0.5000) and F at (0.0000, 0.5000, 0.0000).

For the uncorrected formation energy, the calculation gives -0.181 eV/atom.

11.
The following is a DFT calculation (GGA-PBE) of MoPt2Au after structural relaxation.

It has space group Cm (No. 8), with a = 9.3998 Å, b = 2.8144 Å, c = 4.9267 Å, α = 90.00°, β = 99.39° and γ = 90.00°. The asymmetric unit holds Mo at (0.0000, 0.0000, 0.0000), Pt at (0.0062, 0.5000, 0.5143), Pt at (0.2573, 0.0000, 0.7843) and Au at (0.2515, 0.5000, 0.2700).

The value obtained for the energy of formation from the pure elements is -6 kJ per mole of atoms.

12.
The following is a DFT calculation (GGA-PBE) of LaSe2Cl after structural relaxation.

It has space group Pm (No. 6), with a = 4.4254 Å, b = 4.7180 Å, c = 6.3357 Å, α = 90.00°, β = 90.08° and γ = 90.00°. The asymmetric unit holds La at (0.0000, 0.0000, 0.0000), Se at (0.5004, 0.5000, 0.1578), Se at (0.5007, 0.0000, 0.3052) and Cl at (0.9996, 0.5000, 0.7214).

For the uncorrected formation energy, the calculation gives -1.360 eV/atom.

Repeat the fourth record exactly.
The following is a DFT calculation (GGA-PBE) of Nb2ReMo after structural relaxation.

It has space group I-42d (No. 122), with a = 7.2414 Å, b = 7.2414 Å, c = 5.4823 Å, α = 90.00°, β = 90.00° and γ = 90.00°. The asymmetric unit holds Nb at (0.2432, 0.2500, 0.1250), Re at (0.0000, 0.0000, 0.0000) and Mo at (0.0000, 0.0000, 0.5000).

The value obtained for the energy of formation from the pure elements is 63 kJ per mole of atoms.

Repeat the ninth record exactly.
The following is a DFT calculation (GGA-PBE) of Ca2SiP after structural relaxation.

It has space group Cmmm (No. 65), with a = 6.2927 Å, b = 8.0386 Å, c = 3.4845 Å, α = 90.00°, β = 90.00° and γ = 90.00°. The asymmetric unit holds Ca at (0.2500, 0.2500, 0.0000), Si at (0.0000, 0.0000, 0.5000) and P at (0.0000, 0.5000, 0.5000).

For the uncorrected formation energy, the calculation gives -0.485 eV/atom.